[1]
VASP calculation (PBE-GGA) on a relaxed structure of La4AlPb.

## Properties
Energy above the most stable polymorph in this dataset, meV/atom: 0
Energy of formation, eV/atom: -0.22
Crystal system: tetragonal
Electronic total energy, eV/atom: -4.74

```
La4AlPb
1.0
5.426 0.000 0.000
0.000 5.426 0.000
0.000 0.000 7.396
La Al Pb
4 1 1
Direct
0.000 0.500 0.226
0.000 0.500 0.774
0.500 0.000 0.226
0.500 0.000 0.774
0.000 0.000 0.000
0.500 0.500 0.500
```

=====

[2]
VASP calculation (PBE-GGA) on a relaxed structure of LaAlPb2.

## Properties
Energy of formation, eV/atom: -0.06
Crystal system: trigonal
Electronic total energy, eV/atom: -4.08

```
LaAlPb2
1.0
1.822 1.052 9.973
-1.822 1.052 9.973
0.000 -2.104 9.973
La Al Pb
1 1 2
Direct
0.000 0.000 0.000
0.500 0.500 0.500
0.239 0.239 0.239
0.761 0.761 0.761
```

=====

[3]
VASP calculation (PBE-GGA) on a relaxed structure of LaAlPb2.

## Properties
Energy of formation, eV/atom: -0.35
Crystal system: tetragonal
Electronic total energy, eV/atom: -4.37

```
LaAlPb2
1.0
4.785 0.000 0.000
0.000 4.785 0.000
0.000 0.000 4.859
La Al Pb
1 1 2
Direct
0.000 0.000 0.000
0.500 0.500 0.000
0.000 0.500 0.500
0.500 0.000 0.500
```

=====

[4]
VASP calculation (PBE-GGA) on a relaxed structure of LaAlPb2.

## Properties
Energy of formation, eV/atom: -0.11
Crystal system: tetragonal
Electronic total energy, eV/atom: -4.13

```
LaAlPb2
1.0
3.498 0.000 0.000
0.000 3.498 0.000
0.000 0.000 9.491
La Al Pb
1 1 2
Direct
0.000 0.000 0.000
0.500 0.500 0.774
0.000 0.000 0.561
0.500 0.500 0.271
```

=====

Calculated density in g/cm3, matching the order above: 6.0; 8.4; 8.7; 8.3